Computed, not measured: a relaxed structure of CaMnSb2 at the PBE level of DFT.

Cell and atoms, written as CIF:
```
data_CaMnSb2
_symmetry_space_group_name_H-M 'P 1'
_symmetry_Int_Tables_number 1
_symmetry_space_group_name_Hall 'P 1'
_cell_length_a 4.390
_cell_length_b 6.145
_cell_length_c 7.748
_cell_angle_alpha 90.00
_cell_angle_beta 90.00
_cell_angle_gamma 90.00
loop_
_atom_site_label
_atom_site_type_symbol
_atom_site_fract_x
_atom_site_fract_y
_atom_site_fract_z
Ca1 Ca 0.000 0.000 0.000
Ca2 Ca 0.500 0.500 0.500
Mn1 Mn 0.000 0.000 0.500
Mn2 Mn 0.500 0.500 0.000
Sb1 Sb 0.000 0.500 0.207
Sb2 Sb 0.000 0.500 0.793
Sb3 Sb 0.500 0.000 0.293
Sb4 Sb 0.500 0.000 0.707
```

Results
formation energy from raw total energies	-0.220	eV per atom
calculated volume	104	Å³/f.u.
total energy	-40.59	eV/cell
space group	No. 71